Material: La2VFeO6
Method: DFT, PBE+U
State: optimized geometry

Unit cell a=5.6555 b=7.8546 c=5.5674 alpha=89.77 beta=90.37 gamma=90.32
Positions (direct):
La  0.5481  0.2546  0.5098
La  0.0414  0.2505  0.9907
La  0.4518  0.7454  0.4902
La  0.9586  0.7495  0.0093
V  0.5000  0.5000  0.0000
V  0.0000  0.0000  0.5000
Fe  0.0000  0.5000  0.5000
Fe  0.5000  0.0000  0.0000
O  0.9783  0.2443  0.4144
O  0.4819  0.2615  0.0757
O  0.0217  0.7557  0.5856
O  0.5181  0.7385  0.9243
O  0.7912  0.0456  0.7806
O  0.3024  0.4581  0.7112
O  0.2088  0.9544  0.2194
O  0.6976  0.5419  0.2888
O  0.2125  0.5419  0.1971
O  0.7240  0.9569  0.3015
O  0.7875  0.4581  0.8029
O  0.2760  0.0431  0.6985

Computed properties:
The space group is P-1, No. 2. For the total energy, the calculation gives -7.7948 eV per atom.